[1]
VASP calculation (PBE) on a geometry-optimized Ce2MgIn3 structure.

The structure belongs to space group P6_3/mmc (No. 194); the cell edges are 6.2547, 6.2547 and 9.0840 Å and the angles 90.00°, 90.00° and 120.00°. Symmetry generates all atoms from Ce at (0.3333, 0.6667, 0.0932), Mg at (0.0000, 0.0000, 0.0000) and In at (0.1741, 0.3481, 0.7500).

As for the total magnetization: 2.09 μB per formula unit. The calculation puts the density of states at the Fermi level at 9.784 states/eV/f.u. The energy above the most stable polymorph in this dataset comes out at 0 meV/atom. The formation energy is -2.14 eV/f.u.

=====

[2]
VASP calculation (PBE) on a geometry-optimized CeMg3In2 structure.

The structure belongs to space group C2/m (No. 12); the cell edges are 17.3936, 4.8280 and 7.7613 Å and the angles 90.00°, 112.00° and 90.00°. Symmetry generates all atoms from Ce at (0.1192, 0.0000, 0.1869), Mg at (0.0689, 0.0000, 0.6981), Mg at (0.1293, 0.5000, 0.5041), Mg at (0.1972, 0.5000, 0.9193), In at (0.0189, 0.5000, 0.8337) and In at (0.2359, 0.0000, 0.6721).

As for the total magnetization: 1.05 μB per formula unit. The calculation puts the density of states at the Fermi level at 8.361 states/eV/f.u. The formation energy is -1.15 eV/f.u.